1) B3SbAu: optimized geometry, PBE-GGA.

abc: 4.483 4.483 4.483
angles: 90.00 90.00 90.00
Space group Pm-3m (No. 221)
Asymmetric unit:
B 0.000 0.000 0.500 [3 per cell]
Sb 0.000 0.000 0.000 [1 per cell]
Au 0.500 0.500 0.500 [1 per cell]

The magnetization is 0.00 μB per formula unit.

***

2) B3SbAu: optimized geometry, PBE-GGA.

abc: 4.308 4.308 4.308
angles: 90.00 90.00 90.00
Space group Pm-3m (No. 221)
Asymmetric unit:
B 0.000 0.000 0.500 [3 per cell]
Sb 0.500 0.500 0.500 [1 per cell]
Au 0.000 0.000 0.000 [1 per cell]

The magnetization is 0.00 μB per formula unit.

***

The most stable of them is 2).

***

1) BSbAu3: optimized geometry, PBE-GGA.

abc: 5.238 5.238 5.238
angles: 90.00 90.00 90.00
Space group Pm-3m (No. 221)
Asymmetric unit:
B 0.000 0.000 0.000 [1 per cell]
Sb 0.500 0.500 0.500 [1 per cell]
Au 0.000 0.500 0.500 [3 per cell]

The magnetization is 0.00 μB per formula unit.

***

2) BSbAu3: optimized geometry, PBE-GGA.

abc: 4.510 4.510 4.510
angles: 90.00 90.00 90.00
Space group Pm-3m (No. 221)
Asymmetric unit:
B 0.000 0.000 0.000 [1 per cell]
Sb 0.500 0.500 0.500 [1 per cell]
Au 0.000 0.000 0.500 [3 per cell]

The magnetization is 0.00 μB per formula unit.

***

The most stable of them is 2).

***

1) BSb3Au: optimized geometry, PBE-GGA.

abc: 4.796 4.796 4.796
angles: 90.00 90.00 90.00
Space group Pm-3m (No. 221)
Asymmetric unit:
B 0.000 0.000 0.000 [1 per cell]
Sb 0.000 0.000 0.500 [3 per cell]
Au 0.500 0.500 0.500 [1 per cell]

The magnetization is 0.00 μB per formula unit.

***

2) BSb3Au: optimized geometry, PBE-GGA.

abc: 5.401 5.401 5.401
angles: 90.00 90.00 90.00
Space group Pm-3m (No. 221)
Asymmetric unit:
B 0.000 0.000 0.000 [1 per cell]
Sb 0.000 0.500 0.500 [3 per cell]
Au 0.500 0.500 0.500 [1 per cell]

The magnetization is 0.00 μB per formula unit.

***

The most stable of them is 1).

***

1) BSb2TeAu: optimized geometry, PBE-GGA.

abc: 4.852 4.852 4.788
angles: 90.00 90.00 90.00
Space group P4/mmm (No. 123)
Asymmetric unit:
B 0.000 0.000 0.000 [1 per cell]
Sb 0.000 0.500 0.000 [2 per cell]
Te 0.000 0.000 0.500 [1 per cell]
Au 0.500 0.500 0.500 [1 per cell]

The magnetization is 0.00 μB per formula unit.

***

2) BSb2TeAu: optimized geometry, PBE-GGA.

abc: 5.370 5.370 5.542
angles: 90.00 90.00 90.00
Space group P4/mmm (No. 123)
Asymmetric unit:
B 0.000 0.000 0.000 [1 per cell]
Sb 0.000 0.500 0.500 [2 per cell]
Te 0.500 0.500 0.000 [1 per cell]
Au 0.500 0.500 0.500 [1 per cell]

The magnetization is 0.00 μB per formula unit.

***

The most stable of them is 1).